The following is a PBE-GGA calculation of ErAl2SbO8 after structural relaxation, from the Alexandria database.

The structure in extended XYZ format:
```
12
Lattice="-4.291 2.649 2.743 -1.601 -1.808 -5.208 1.574 -4.571 3.095" Properties=species:S:1:pos:R:3 pbc="T T T"
O -1.176 -0.579 1.762
O -1.873 -1.003 -1.202
O -2.137 -1.259 3.827
O -0.288 -3.035 2.734
O -1.909 -3.614 0.250
O -4.002 0.545 2.185
O -4.565 0.192 -0.522
O -4.011 -1.711 1.437
Sb -1.486 -2.979 -1.673
Er 0.000 0.000 0.000
Al -2.831 -0.751 2.303
Al -2.946 0.421 -1.232
```

**SG**: I-4m2 (119)
**Magnetic moment**: 2.0 μB/f.u.
**ΔE_f (raw)**: -2.07 eV/atom
**Total energy**: -6.721 eV per atom